First-principles (PBE-GGA) data for a relaxed structure of GaSe2O, as listed in the Alexandria database. Values from VASP.

Values from the calculation:
- space group = R-3m, No. 166
- relative energy among the computed polymorphs (meV/atom) = 515.1
- D(E_F) (states/eV/f.u.) = 2.82
- density (Mg/m³) = 6.05

```
&SYSTEM
  ibrav = 0, nat = 4, ntyp = 3
/
ATOMIC_SPECIES
Se 78.96 Se.upf
Ga 69.72 Ga.upf
O 16.00 O.upf
ATOMIC_POSITIONS crystal
Se 0.1024 0.1024 0.1024
Se 0.8976 0.8976 0.8976
Ga 0.0000 0.0000 0.0000
O 0.5000 0.5000 0.5000
CELL_PARAMETERS angstrom
1.7072 0.0000 8.8350
-0.8536 1.4785 8.8350
-0.8536 -1.4785 8.8350
```

---

First-principles (PBE-GGA) data for a relaxed structure of Ga2SeO2, as listed in the Alexandria database. Values from VASP.

Values from the calculation:
- space group = I4_1md, No. 109
- final energy (Ha/atom) = -0.1912
- D(E_F) (states/eV/f.u.) = 0.00
- density (Mg/m³) = 4.64

```
&SYSTEM
  ibrav = 0, nat = 10, ntyp = 3
/
ATOMIC_SPECIES
Se 78.96 Se.upf
O 16.00 O.upf
Ga 69.72 Ga.upf
ATOMIC_POSITIONS crystal
Se 0.0093 0.0093 0.0187
O 0.6479 0.3511 0.2959
Se 0.2593 0.7593 0.5187
O 0.6479 0.9447 0.2959
Ga 0.4377 0.2183 0.8754
O 0.1947 0.3979 0.7959
Ga 0.4377 0.6572 0.8754
O 0.6011 0.3979 0.7959
Ga 0.4683 0.1877 0.3754
Ga 0.9072 0.1877 0.3754
CELL_PARAMETERS angstrom
-1.4149 -5.2073 -3.5007
6.0919 -1.9999 0.5127
-3.3503 1.4483 5.1090
```

---

First-principles (PBE-GGA) data for a relaxed structure of GaSe3O9, as listed in the Alexandria database. Values from VASP.

Values from the calculation:
- space group = Cc, No. 9
- final energy (Ha/atom) = -0.1905
- D(E_F) (states/eV/f.u.) = 0.92
- density (Mg/m³) = 3.59

```
&SYSTEM
  ibrav = 0, nat = 26, ntyp = 3
/
ATOMIC_SPECIES
Ga 69.72 Ga.upf
O 16.00 O.upf
Se 78.96 Se.upf
ATOMIC_POSITIONS crystal
Ga 0.0042 0.4942 0.9980
O 0.2250 0.0096 0.7037
O 0.2817 0.2703 0.9241
O 0.1176 0.7007 0.8669
O 0.7650 0.0082 0.3089
O 0.9042 0.2887 0.1467
O 0.0805 0.5922 0.4641
O 0.5238 0.7703 0.4241
O 0.6604 0.7887 0.6467
Se 0.8465 0.5461 0.6462
Se 0.0198 0.9501 0.7894
O 0.5035 0.5134 0.2942
O 0.8632 0.0922 0.9641
O 0.4520 0.2218 0.5887
Se 0.9612 0.0461 0.1462
O 0.7376 0.7218 0.0887
O 0.9179 0.5082 0.8089
Se 0.2406 0.4501 0.2894
O 0.3116 0.9230 0.1978
Ga 0.5036 0.9942 0.4980
Se 0.5005 0.2393 0.7491
Se 0.5111 0.7393 0.2491
O 0.5677 0.4230 0.6978
O 0.0616 0.5096 0.2037
O 0.3147 0.2007 0.3669
O 0.6890 0.0134 0.7942
CELL_PARAMETERS angstrom
7.3299 0.0000 3.0844
3.3441 6.5963 2.3048
0.5861 -0.0514 8.8588
```

---

First-principles (PBE-GGA) data for a relaxed structure of GaSe3O, as listed in the Alexandria database. Values from VASP.

Values from the calculation:
- space group = Pm-3m, No. 221
- relative energy among the computed polymorphs (meV/atom) = 0.0
- D(E_F) (states/eV/f.u.) = 3.69
- density (Mg/m³) = 5.64

```
&SYSTEM
  ibrav = 0, nat = 5, ntyp = 3
/
ATOMIC_SPECIES
Ga 69.72 Ga.upf
Se 78.96 Se.upf
O 16.00 O.upf
ATOMIC_POSITIONS crystal
Ga 0.5000 0.5000 0.5000
Se 0.0000 0.0000 0.5000
Se 0.5000 0.0000 0.0000
Se 0.0000 0.5000 0.0000
O 0.0000 0.0000 0.0000
CELL_PARAMETERS angstrom
-1.9120 1.5831 3.8296
2.9160 -2.4826 2.4821
2.9442 3.4869 0.0286
```

---

First-principles (PBE-GGA) data for a relaxed structure of Ga3SeO, as listed in the Alexandria database. Values from VASP.

Values from the calculation:
- space group = Pm-3m, No. 221
- relative energy among the computed polymorphs (meV/atom) = 943.1
- D(E_F) (states/eV/f.u.) = 2.57
- density (Mg/m³) = 3.43

```
&SYSTEM
  ibrav = 0, nat = 5, ntyp = 3
/
ATOMIC_SPECIES
Ga 69.72 Ga.upf
Se 78.96 Se.upf
O 16.00 O.upf
ATOMIC_POSITIONS crystal
Ga 0.0000 0.0000 0.5000
Ga 0.0000 0.5000 0.0000
Se 0.0000 0.0000 0.0000
O 0.5000 0.5000 0.5000
Ga 0.5000 0.0000 0.0000
CELL_PARAMETERS angstrom
-4.4573 -2.6511 0.9872
2.6276 -3.1974 3.2777
-1.0481 3.2587 4.0191
```

---

First-principles (PBE-GGA) data for a relaxed structure of Ga3SeO, as listed in the Alexandria database. Values from VASP.

Values from the calculation:
- space group = Pm-3m, No. 221
- relative energy among the computed polymorphs (meV/atom) = 0.0
- D(E_F) (states/eV/f.u.) = 3.71
- density (Mg/m³) = 5.27

```
&SYSTEM
  ibrav = 0, nat = 5, ntyp = 3
/
ATOMIC_SPECIES
O 16.00 O.upf
Ga 69.72 Ga.upf
Se 78.96 Se.upf
ATOMIC_POSITIONS crystal
O 0.0000 0.0000 0.0000
Ga 0.0000 0.5000 0.0000
Ga 0.0000 0.0000 0.5000
Ga 0.5000 0.0000 0.0000
Se 0.5000 0.5000 0.5000
CELL_PARAMETERS angstrom
4.5758 0.0000 0.0000
0.0000 4.5758 0.0000
0.0000 0.0000 4.5758
```

---

First-principles (PBE-GGA) data for a relaxed structure of GaSeO4, as listed in the Alexandria database. Values from VASP.

Values from the calculation:
- space group = Cmcm, No. 63
- relative energy among the computed polymorphs (meV/atom) = 0.0
- D(E_F) (states/eV/f.u.) = 1.04
- density (Mg/m³) = 5.04

```
&SYSTEM
  ibrav = 0, nat = 12, ntyp = 3
/
ATOMIC_SPECIES
O 16.00 O.upf
Se 78.96 Se.upf
Ga 69.72 Ga.upf
ATOMIC_POSITIONS crystal
O 0.1700 0.2186 0.7500
O 0.2186 0.1700 0.2500
Se 0.5802 0.4198 0.2500
Se 0.4198 0.5802 0.7500
O 0.8300 0.7814 0.2500
O 0.7151 0.2849 0.0289
O 0.2849 0.7151 0.5289
Ga 0.0000 0.0000 0.0000
O 0.7151 0.2849 0.4711
O 0.2849 0.7151 0.9711
O 0.7814 0.8300 0.7500
Ga 0.0000 0.0000 0.5000
CELL_PARAMETERS angstrom
-2.7273 -3.8273 -0.4640
1.9914 -1.1272 4.1310
-4.6903 2.9700 3.0714
```

---

First-principles (PBE-GGA) data for a relaxed structure of GaSe2O8, as listed in the Alexandria database. Values from VASP.

Values from the calculation:
- space group = C2/c, No. 15
- final energy (Ha/atom) = -0.1881
- D(E_F) (states/eV/f.u.) = 8.24
- density (Mg/m³) = 3.19

```
&SYSTEM
  ibrav = 0, nat = 22, ntyp = 3
/
ATOMIC_SPECIES
O 16.00 O.upf
Se 78.96 Se.upf
Ga 69.72 Ga.upf
ATOMIC_POSITIONS crystal
O 0.2655 0.2443 0.0762
O 0.0966 0.9577 0.2188
Se 0.3205 0.3621 0.4562
O 0.2731 0.5423 0.2812
Ga 0.9914 0.7500 0.2500
O 0.5860 0.2557 0.4238
Se 0.8612 0.8621 0.9562
O 0.2647 0.0413 0.8518
O 0.9034 0.0423 0.7812
O 0.2060 0.1917 0.5009
O 0.8423 0.5413 0.3518
O 0.7353 0.9587 0.1482
O 0.7269 0.4577 0.7188
O 0.4140 0.7443 0.5762
O 0.1577 0.4587 0.6482
O 0.1014 0.6917 0.0009
O 0.8986 0.3083 0.9991
O 0.7345 0.7557 0.9238
O 0.7940 0.8083 0.4991
Ga 0.0086 0.2500 0.7500
Se 0.1388 0.1379 0.0438
Se 0.6795 0.6379 0.5438
CELL_PARAMETERS angstrom
6.7134 0.0000 2.9629
2.9091 6.5254 2.4957
0.2438 -0.0783 8.5346
```